Run A
BrClF3 after structural relaxation. Source: the Alexandria database, functional PBE-GGA.

Calculated values
V = 81.8 Å³/f.u.

abc: 4.3402 4.3402 4.3402
angles: 90.00 90.00 90.00
Positions (direct):
Br (0.0000, 0.0000, 0.0000)
Cl (0.5000, 0.5000, 0.5000)
F (0.0000, 0.0000, 0.5000)
F (0.0000, 0.5000, 0.0000)
F (0.5000, 0.0000, 0.0000)



Run B
BrClF3 after structural relaxation. Source: the Alexandria database, functional PBE-GGA.

Calculated values
V = 112.9 Å³/f.u.

abc: 5.3777 6.9331 13.1616
angles: 90.00 112.98 90.00
Positions (direct):
Br (0.0673, 0.2340, 0.4184)
Br (0.0673, 0.7660, 0.9184)
Br (0.9327, 0.2340, 0.0816)
Br (0.9327, 0.7660, 0.5816)
Cl (0.1043, 0.1254, 0.7008)
Cl (0.1043, 0.8746, 0.2008)
Cl (0.8957, 0.1254, 0.7992)
Cl (0.8957, 0.8746, 0.2992)
F (0.1841, 0.3633, 0.2003)
F (0.1841, 0.6367, 0.7003)
F (0.2208, 0.4601, 0.4754)
F (0.2208, 0.5399, 0.9754)
F (0.3163, 0.1121, 0.5495)
F (0.3163, 0.8879, 0.0495)
F (0.6837, 0.1121, 0.9505)
F (0.6837, 0.8879, 0.4505)
F (0.7792, 0.4601, 0.0246)
F (0.7792, 0.5399, 0.5246)
F (0.8159, 0.3633, 0.2997)
F (0.8159, 0.6367, 0.7997)



Run C
BrClF3 after structural relaxation. Source: the Alexandria database, functional PBE-GGA.

Calculated values
V = 106.1 Å³/f.u.

abc: 5.1992 6.1471 6.6892
angles: 90.34 90.89 97.03
Positions (direct):
Br (0.0000, 0.0000, 0.0000)
Br (0.0047, 0.2841, 0.5145)
Cl (0.2414, 0.0128, 0.3506)
Cl (0.7258, 0.6936, 0.0550)
F (0.1647, 0.4966, 0.3541)
F (0.2170, 0.2590, 0.9297)
F (0.2301, 0.8393, 0.8733)
F (0.7660, 0.1746, 0.1101)
F (0.8181, 0.0472, 0.6923)
F (0.8207, 0.4863, 0.6303)



Run D
BrClF3 after structural relaxation. Source: the Alexandria database, functional PBE-GGA.

Calculated values
V = 81.5 Å³/f.u.

abc: 4.3360 4.3360 4.3360
angles: 90.00 90.00 90.00
Positions (direct):
Br (0.0000, 0.0000, 0.0000)
Cl (0.5000, 0.5000, 0.5000)
F (0.0000, 0.5000, 0.5000)
F (0.5000, 0.0000, 0.5000)
F (0.5000, 0.5000, 0.0000)



Quick ranking, most stable first: run B, run C, run A, run D.